# ScCoIr2 PBE optimized geometry
# Electronic total energy: -7.864 eV/atom
# Energy relative to the elements: -0.074 eV/atom
data_ScCoIr2
_cell_length_a 2.8817
_cell_length_b 2.8817
_cell_length_c 25.2744
_cell_angle_alpha 90.00
_cell_angle_beta 90.00
_cell_angle_gamma 120.00
_symmetry_space_group_name_H-M 'R -3 m'
_symmetry_Int_Tables_number 166
_symmetry_space_group_name_Hall '-R 3 2"'
loop_
_atom_site_label
_atom_site_type_symbol
_atom_site_fract_x
_atom_site_fract_y
_atom_site_fract_z
_atom_site_occupancy
Sc1 Sc 0.0000 0.0000 0.0000 1
Co1 Co 0.0000 0.0000 0.5000 1
Ir1 Ir 0.0000 0.0000 0.2465 1

# Sc2CoIr PBE optimized geometry
# Distance to the lowest polymorph of the same formula: 2.01 eV per formula unit
# Electronic total energy: -7.374 eV/atom
# Energy relative to the elements: -0.217 eV/atom
data_Sc2CoIr
_cell_length_a 3.016
_cell_length_b 3.016
_cell_length_c 7.905
_cell_angle_alpha 90.00
_cell_angle_beta 90.00
_cell_angle_gamma 90.00
_symmetry_space_group_name_H-M 'P 4 m m'
_symmetry_Int_Tables_number 99
loop_
_symmetry_equiv_pos_as_xyz
'x,y,z'
'-y,x,z'
'-x,-y,z'
'y,-x,z'
'-x,y,z'
'y,x,z'
'x,-y,z'
'-y,-x,z'
loop_
_atom_site_label
_atom_site_type_symbol
_atom_site_fract_x
_atom_site_fract_y
_atom_site_fract_z
_atom_site_occupancy
Sc1 Sc 0.000 0.000 0.000 1
Sc2 Sc 0.500 0.500 0.377 1
Co1 Co 0.000 0.000 0.587 1
Ir1 Ir 0.500 0.500 0.781 1

# ScCoIr2 PBE optimized geometry
# Electronic total energy: -7.736 eV/atom
# Energy relative to the elements: 0.053 eV/atom
data_ScCoIr2
_cell_length_a 3.867
_cell_length_b 3.867
_cell_length_c 17.447
_cell_angle_alpha 90.00
_cell_angle_beta 90.00
_cell_angle_gamma 90.00
_symmetry_space_group_name_H-M 'I -4 2 d'
_symmetry_Int_Tables_number 122
_symmetry_space_group_name_Hall 'I -4 2bw'
loop_
_atom_site_label
_atom_site_type_symbol
_atom_site_fract_x
_atom_site_fract_y
_atom_site_fract_z
_atom_site_occupancy
Sc1 Sc 0.000 0.000 0.000 1
Co1 Co 0.000 0.000 0.500 1
Ir1 Ir 0.209 0.250 0.625 1

# Sc6Co5Ir PBE optimized geometry
# Electronic total energy: -7.339 eV/atom
# Energy relative to the elements: -0.474 eV/atom
data_Sc6Co5Ir
_cell_length_a 4.443
_cell_length_b 13.321
_cell_length_c 6.290
_cell_angle_alpha 90.00
_cell_angle_beta 90.00
_cell_angle_gamma 90.00
_symmetry_space_group_name_H-M 'C m m m'
_symmetry_Int_Tables_number 65
_symmetry_space_group_name_Hall '-C 2 2'
loop_
_atom_site_label
_atom_site_type_symbol
_atom_site_fract_x
_atom_site_fract_y
_atom_site_fract_z
_atom_site_occupancy
Sc1 Sc 0.000 0.000 0.245 1
Sc2 Sc 0.000 0.331 0.248 1
Co1 Co 0.000 0.166 0.000 1
Co2 Co 0.000 0.167 0.500 1
Co3 Co 0.000 0.500 0.000 1
Ir1 Ir 0.000 0.500 0.500 1